No. 1
Material: Pt3Rh2
Method: DFT, PBE-GGA
State: relaxed

Unit cell a=4.2948 b=4.2948 c=5.2978 alpha=90.00 beta=90.00 gamma=120.00
With the nearest neighbours (Å) after each atom.
Fractional positions:
Pt 0.0000 0.0000 0.0000  6 Rh 2.58
Pt 0.6667 0.3333 0.6242  5 Rh 2.58-2.78, 3 Pt 2.81
Pt 0.3333 0.6667 0.3758  5 Rh 2.58-2.78, 3 Pt 2.81
Rh 0.6667 0.3333 0.1369  8 Pt 2.58-2.78, 3 Rh 2.87
Rh 0.3333 0.6667 0.8631  8 Pt 2.58-2.78, 3 Rh 2.87

Output
Energy of formation, meV per atom: 344
SG: No. 164
Theoretical density, g/cm³: 15.52

No. 2
Material: Pt3Rh4
Method: DFT, PBE-GGA
State: relaxed

Unit cell a=5.1496 b=5.1496 c=4.8708 alpha=90.00 beta=90.00 gamma=120.00
With the nearest neighbours (Å) after each atom.
Fractional positions:
Pt 0.0000 0.5000 0.0000  4 Pt 2.57, 8 Rh 2.85-2.86
Pt 0.5000 0.5000 0.0000  4 Pt 2.57, 8 Rh 2.85-2.86
Pt 0.5000 0.0000 0.0000  4 Pt 2.57, 8 Rh 2.85-2.86
Rh 0.0000 0.0000 0.2562  2 Rh 2.38-2.50
Rh 0.0000 0.0000 0.7438  2 Rh 2.38-2.50
Rh 0.6667 0.3333 0.5000  6 Pt 2.85, 3 Rh 2.97
Rh 0.3333 0.6667 0.5000  6 Pt 2.85, 3 Rh 2.97

Output
Energy of formation, meV per atom: 344
SG: No. 191
Theoretical density, g/cm³: 14.80

No. 3
Material: Pt3Rh2
Method: DFT, PBE-GGA
State: relaxed

Unit cell a=8.3158 b=7.2291 c=5.3006 alpha=81.59 beta=59.31 gamma=39.09
With the nearest neighbours (Å) after each atom.
Fractional positions:
Pt 0.6011 0.6011 0.3989  5 Rh 2.70-2.74, 5 Pt 2.73-2.76
Pt 0.3989 0.3989 0.6011  5 Rh 2.70-2.74, 5 Pt 2.73-2.76
Pt 0.6489 0.6489 0.8511  5 Rh 2.70-2.74, 5 Pt 2.73-2.76
Pt 0.8511 0.8511 0.6489  5 Rh 2.70-2.74, 5 Pt 2.73-2.76
Pt 0.0000 0.0000 0.0000  6 Rh 2.73-2.75, 4 Pt 2.74
Pt 0.2500 0.2500 0.2500  6 Rh 2.73-2.75, 4 Pt 2.74
Rh 0.0489 0.0489 0.4511  8 Pt 2.70-2.75, 2 Rh 2.72
Rh 0.4511 0.4511 0.0489  8 Pt 2.70-2.75, 2 Rh 2.72
Rh 0.2011 0.2011 0.7989  8 Pt 2.70-2.75, 2 Rh 2.72
Rh 0.7989 0.7989 0.2011  8 Pt 2.70-2.75, 2 Rh 2.72

Output
Energy of formation, meV per atom: 87
SG: No. 70
Theoretical density, g/cm³: 17.13

No. 4
Material: PtRh
Method: DFT, PBE-GGA
State: relaxed

Unit cell a=5.2617 b=5.2617 c=4.4068 alpha=90.00 beta=90.00 gamma=150.13
With the nearest neighbours (Å) after each atom.
Fractional positions:
Pt 0.8315 0.1685 0.7500  7 Rh 2.65-2.79, 2 Pt 2.71
Pt 0.1685 0.8315 0.2500  7 Rh 2.65-2.79, 2 Pt 2.71
Rh 0.5712 0.4288 0.7500  4 Rh 2.64-2.71, 7 Pt 2.65-2.79
Rh 0.4288 0.5712 0.2500  4 Rh 2.64-2.71, 7 Pt 2.65-2.79

Output
Energy of formation, meV per atom: 105
SG: No. 63
Theoretical density, g/cm³: 16.29

No. 5
Material: PtRh3
Method: DFT, PBE-GGA
State: relaxed

Unit cell a=4.7432 b=4.7431 c=2.7427 alpha=90.00 beta=90.00 gamma=109.55
With the nearest neighbours (Å) after each atom.
Fractional positions:
Rh 0.0000 0.5000 0.5000  8 Rh 2.74, 4 Pt 2.74
Rh 0.5000 0.0000 0.5000  8 Rh 2.74, 4 Pt 2.74
Rh 0.5000 0.5000 0.0000  2 Pt 2.74, 10 Rh 2.74
Pt 0.0000 0.0000 0.0000  10 Rh 2.74, 2 Pt 2.74

Output
Energy of formation, meV per atom: -8
SG: No. 65
Theoretical density, g/cm³: 14.39

No. 6
Material: Pt5Rh
Method: DFT, PBE-GGA
State: relaxed

Unit cell a=2.7524 b=7.2994 c=4.7141 alpha=90.00 beta=90.00 gamma=79.13
With the nearest neighbours (Å) after each atom.
Fractional positions:
Pt 0.0011 0.9978 0.0000  10 Pt 2.73-2.83, 2 Rh 2.87
Pt 0.6685 0.6629 0.0000  12 Pt 2.75-2.89
Pt 0.3363 0.3275 0.0000  8 Pt 2.73-2.87, 4 Rh 2.82
Pt 0.5522 0.8955 0.5000  2 Rh 2.75, 10 Pt 2.75-2.89
Pt 0.2220 0.5560 0.5000  2 Rh 2.73, 10 Pt 2.75-2.87
Rh 0.8866 0.2269 0.5000  10 Pt 2.73-2.87, 2 Rh 2.75

Output
Energy of formation, meV per atom: 32
SG: No. 38
Theoretical density, g/cm³: 19.25

No. 7
Material: PtRh5
Method: DFT, PBE-GGA
State: relaxed

Unit cell a=3.8654 b=3.8564 c=6.1121 alpha=108.39 beta=90.00 gamma=90.00
With the nearest neighbours (Å) after each atom.
Fractional positions:
Rh 0.0000 0.6692 0.3384  10 Rh 2.69-2.75, 2 Pt 2.75
Rh 0.0000 0.3308 0.6616  10 Rh 2.69-2.75, 2 Pt 2.75
Rh 0.5000 0.5000 0.0000  4 Pt 2.73, 8 Rh 2.74-2.75
Rh 0.5000 0.1682 0.3365  10 Rh 2.70-2.74, 2 Pt 2.75
Rh 0.5000 0.8318 0.6635  10 Rh 2.70-2.74, 2 Pt 2.75
Pt 0.0000 0.0000 0.0000  12 Rh 2.73-2.75

Output
Energy of formation, meV per atom: -13
SG: No. 65
Theoretical density, g/cm³: 13.63

No. 8
Material: PtRh
Method: DFT, PBE-GGA
State: relaxed

Unit cell a=6.6296 b=12.2537 c=11.2442 alpha=90.00 beta=90.00 gamma=90.00
With the nearest neighbours (Å) after each atom.
Fractional positions:
Pt 0.0000 0.1809 0.0000  4 Rh 2.42-2.55
Pt 0.0000 0.8191 0.0000  4 Rh 2.42-2.55
Pt 0.2500 0.5691 0.2500  4 Rh 2.42-2.55
Pt 0.2500 0.9309 0.2500  4 Rh 2.42-2.55
Pt 0.0000 0.6809 0.5000  4 Rh 2.42-2.55
Pt 0.0000 0.3191 0.5000  4 Rh 2.42-2.55
Pt 0.2500 0.0691 0.7500  4 Rh 2.42-2.55
Pt 0.2500 0.4309 0.7500  4 Rh 2.42-2.55
Pt 0.5000 0.1809 0.5000  4 Rh 2.42-2.55
Pt 0.5000 0.8191 0.5000  4 Rh 2.42-2.55
Pt 0.7500 0.5691 0.7500  4 Rh 2.42-2.55
Pt 0.7500 0.9309 0.7500  4 Rh 2.42-2.55
Pt 0.5000 0.6809 0.0000  4 Rh 2.42-2.55
Pt 0.5000 0.3191 0.0000  4 Rh 2.42-2.55
Pt 0.7500 0.0691 0.2500  4 Rh 2.42-2.55
Pt 0.7500 0.4309 0.2500  4 Rh 2.42-2.55
Rh 0.0000 0.0000 0.8883  4 Pt 2.42-2.55, 1 Rh 2.51
Rh 0.0000 0.0000 0.1117  4 Pt 2.42-2.55, 1 Rh 2.51
Rh 0.2500 0.7500 0.3617  4 Pt 2.42-2.55, 1 Rh 2.51
Rh 0.2500 0.7500 0.1383  4 Pt 2.42-2.55, 1 Rh 2.51
Rh 0.0000 0.5000 0.3883  4 Pt 2.42-2.55, 1 Rh 2.51
Rh 0.0000 0.5000 0.6117  4 Pt 2.42-2.55, 1 Rh 2.51
Rh 0.2500 0.2500 0.8617  4 Pt 2.42-2.55, 1 Rh 2.51
Rh 0.2500 0.2500 0.6383  4 Pt 2.42-2.55, 1 Rh 2.51
Rh 0.5000 0.0000 0.3883  4 Pt 2.42-2.55, 1 Rh 2.51
Rh 0.5000 0.0000 0.6117  4 Pt 2.42-2.55, 1 Rh 2.51
Rh 0.7500 0.7500 0.8617  4 Pt 2.42-2.55, 1 Rh 2.51
Rh 0.7500 0.7500 0.6383  4 Pt 2.42-2.55, 1 Rh 2.51
Rh 0.5000 0.5000 0.8883  4 Pt 2.42-2.55, 1 Rh 2.51
Rh 0.5000 0.5000 0.1117  4 Pt 2.42-2.55, 1 Rh 2.51
Rh 0.7500 0.2500 0.3617  4 Pt 2.42-2.55, 1 Rh 2.51
Rh 0.7500 0.2500 0.1383  4 Pt 2.42-2.55, 1 Rh 2.51

Output
Energy of formation, meV per atom: 1056
SG: No. 70
Theoretical density, g/cm³: 8.67

No. 9
Material: PtRh3
Method: DFT, PBE-GGA
State: relaxed

Unit cell a=2.7422 b=2.7422 c=8.9780 alpha=90.00 beta=90.00 gamma=120.00
With the nearest neighbours (Å) after each atom.
Fractional positions:
Rh 0.0000 0.0000 0.5000  12 Rh 2.70-2.74
Rh 0.3333 0.6667 0.2560  9 Rh 2.70-2.74, 3 Pt 2.79
Rh 0.3333 0.6667 0.7440  9 Rh 2.70-2.74, 3 Pt 2.79
Pt 0.0000 0.0000 0.0000  6 Pt 2.74, 6 Rh 2.79

Output
Energy of formation, meV per atom: 46
SG: No. 187
Theoretical density, g/cm³: 14.31

No. 10
Material: Pt3Rh4
Method: DFT, PBE-GGA
State: relaxed

Unit cell a=2.7154 b=6.6861 c=7.1543 alpha=122.58 beta=100.94 gamma=90.00
With the nearest neighbours (Å) after each atom.
Fractional positions:
Pt 0.0000 0.0000 0.0000  6 Rh 2.61-2.79, 4 Pt 2.65-2.72
Pt 0.2249 0.2881 0.4497  5 Pt 2.65-2.86, 6 Rh 2.70-2.84
Pt 0.7751 0.7119 0.5503  5 Pt 2.65-2.86, 6 Rh 2.70-2.84
Rh 0.0777 0.4549 0.1553  7 Rh 2.56-2.79, 4 Pt 2.61-2.84
Rh 0.9223 0.5451 0.8447  7 Rh 2.56-2.79, 4 Pt 2.61-2.84
Rh 0.3746 0.1451 0.7491  6 Rh 2.72-2.79, 5 Pt 2.75-2.79
Rh 0.6254 0.8549 0.2509  6 Rh 2.72-2.79, 5 Pt 2.75-2.79

Output
Energy of formation, meV per atom: 94
SG: No. 12
Theoretical density, g/cm³: 15.52

No. 11
Material: Pt3Rh
Method: DFT, PBE-GGA
State: relaxed

Unit cell a=4.4456 b=4.4456 c=4.4456 alpha=60.00 beta=60.00 gamma=60.00
With the nearest neighbours (Å) after each atom.
Fractional positions:
Pt 0.2500 0.2500 0.2500  4 Rh 2.72, 4 Pt 2.72
Pt 0.7500 0.7500 0.7500  4 Pt 2.72, 4 Rh 2.72
Pt 0.0000 0.0000 0.0000  8 Pt 2.72
Rh 0.5000 0.5000 0.5000  8 Pt 2.72

Output
Energy of formation, meV per atom: 121
SG: No. 225
Theoretical density, g/cm³: 18.39

No. 12
Material: PtRh5
Method: DFT, PBE-GGA
State: relaxed

Unit cell a=7.2694 b=7.2694 c=4.4582 alpha=90.00 beta=90.00 gamma=158.39
With the nearest neighbours (Å) after each atom.
Fractional positions:
Pt 0.9993 0.0007 0.0000  2 Pt 2.73, 10 Rh 2.74-2.77
Rh 0.2225 0.7775 0.5000  12 Rh 2.72-2.73
Rh 0.3313 0.6687 0.0000  10 Rh 2.70-2.74, 2 Pt 2.76
Rh 0.5573 0.4427 0.5000  8 Rh 2.73-2.77, 4 Pt 2.74
Rh 0.6682 0.3318 0.0000  10 Rh 2.70-2.73, 2 Pt 2.77
Rh 0.8881 0.1119 0.5000  10 Rh 2.73-2.77, 2 Pt 2.74

Output
Energy of formation, meV per atom: 27
SG: No. 38
Theoretical density, g/cm³: 13.58

No. 13
Material: PtRh
Method: DFT, PBE-GGA
State: relaxed

Unit cell a=2.7532 b=2.7532 c=7.8712 alpha=90.00 beta=90.00 gamma=90.01
With the nearest neighbours (Å) after each atom.
Fractional positions:
Rh 0.0000 0.0000 0.4915  8 Rh 2.67-2.75, 4 Pt 2.78
Rh 0.5000 0.5000 0.2585  8 Rh 2.67-2.75, 4 Pt 2.78
Pt 0.0000 0.0000 0.0071  8 Pt 2.75-2.85, 4 Rh 2.78
Pt 0.5000 0.5000 0.7429  8 Pt 2.75-2.85, 4 Rh 2.78

Output
Energy of formation, meV per atom: -25
SG: No. 129
Theoretical density, g/cm³: 16.59

No. 14
Material: PtRh
Method: DFT, PBE-GGA
State: relaxed

Unit cell a=4.7916 b=2.7636 c=9.1490 alpha=90.00 beta=100.00 gamma=90.00
With the nearest neighbours (Å) after each atom.
Fractional positions:
Pt 0.6282 0.0000 0.8768  7 Rh 2.74-2.79, 5 Pt 2.75-2.79
Pt 0.3718 0.0000 0.1232  7 Rh 2.74-2.79, 5 Pt 2.75-2.79
Pt 0.6282 0.5000 0.3768  7 Rh 2.74-2.79, 5 Pt 2.75-2.79
Pt 0.3718 0.5000 0.6232  7 Rh 2.74-2.79, 5 Pt 2.75-2.79
Rh 0.1214 0.0000 0.3728  5 Rh 2.72-2.78, 7 Pt 2.74-2.79
Rh 0.8786 0.0000 0.6272  5 Rh 2.72-2.78, 7 Pt 2.74-2.79
Rh 0.1214 0.5000 0.8728  5 Rh 2.72-2.78, 7 Pt 2.74-2.79
Rh 0.8786 0.5000 0.1272  5 Rh 2.72-2.78, 7 Pt 2.74-2.79

Output
Energy of formation, meV per atom: -21
SG: No. 12
Theoretical density, g/cm³: 16.59

No. 15
Material: Pt3Rh
Method: DFT, PBE-GGA
State: relaxed

Unit cell a=5.4287 b=5.4287 c=5.4287 alpha=150.61 beta=127.79 gamma=61.05
With the nearest neighbours (Å) after each atom.
Fractional positions:
Rh 0.6653 0.0000 0.6653  2 Rh 2.75, 10 Pt 2.76-2.86
Pt 0.7493 0.7477 0.0016  9 Pt 2.75-2.84, 3 Rh 2.81-2.85
Pt 0.2539 0.2523 0.0016  9 Pt 2.75-2.84, 3 Rh 2.81-2.86
Pt 0.1648 0.5000 0.6648  8 Pt 2.75-2.84, 4 Rh 2.76

Output
Energy of formation, meV per atom: 46
SG: No. 44
Theoretical density, g/cm³: 18.57

No. 16
Material: PtRh
Method: DFT, PBE-GGA
State: relaxed

Unit cell a=3.9144 b=3.9144 c=5.3054 alpha=90.00 beta=90.00 gamma=120.00
With the nearest neighbours (Å) after each atom.
Fractional positions:
Pt 0.0000 0.0000 0.0000  6 Rh 2.62, 2 Pt 2.65
Pt 0.0000 0.0000 0.5000  6 Rh 2.62, 2 Pt 2.65
Rh 0.3333 0.6667 0.2500  6 Pt 2.62
Rh 0.6667 0.3333 0.7500  6 Pt 2.62

Output
Energy of formation, meV per atom: 485
SG: No. 194
Theoretical density, g/cm³: 14.06

No. 17
Material: Pt5Rh
Method: DFT, PBE-GGA
State: relaxed

Unit cell a=4.7731 b=4.7731 c=4.7172 alpha=90.00 beta=90.00 gamma=120.00
With the nearest neighbours (Å) after each atom.
Fractional positions:
Pt 0.0016 0.0000 0.0000  10 Pt 2.74-2.85, 2 Rh 2.84
Pt 0.6650 0.3317 0.0000  10 Pt 2.74-2.85, 2 Rh 2.84
Pt 0.3333 0.6683 0.0000  10 Pt 2.74-2.85, 2 Rh 2.84
Pt 0.0000 0.3333 0.5000  3 Rh 2.76, 9 Pt 2.76-2.85
Pt 0.6667 0.6667 0.5000  3 Rh 2.76, 9 Pt 2.76-2.85
Rh 0.3333 0.0000 0.5000  12 Pt 2.76-2.84

Output
Energy of formation, meV per atom: 36
SG: No. 189
Theoretical density, g/cm³: 19.24

No. 18
Material: PtRh
Method: DFT, PBE-GGA
State: relaxed

Unit cell a=5.0696 b=5.0696 c=5.2156 alpha=90.00 beta=90.00 gamma=90.00
With the nearest neighbours (Å) after each atom.
Fractional positions:
Pt 0.3157 0.3157 0.0000  6 Rh 2.61-2.63, 1 Pt 2.64
Pt 0.8157 0.1843 0.5000  6 Rh 2.61-2.63, 1 Pt 2.64
Pt 0.1843 0.8157 0.5000  6 Rh 2.61-2.63, 1 Pt 2.64
Pt 0.6843 0.6843 0.0000  6 Rh 2.61-2.63, 1 Pt 2.64
Rh 0.1833 0.8167 0.0000  6 Pt 2.61-2.63, 1 Rh 2.63
Rh 0.6833 0.6833 0.5000  6 Pt 2.61-2.63, 1 Rh 2.63
Rh 0.3167 0.3167 0.5000  6 Pt 2.61-2.63, 1 Rh 2.63
Rh 0.8167 0.1833 0.0000  6 Pt 2.61-2.63, 1 Rh 2.63

Output
Energy of formation, meV per atom: 405
SG: No. 136
Theoretical density, g/cm³: 14.77

No. 19
Material: Pt5Rh7
Method: DFT, PBE-GGA
State: relaxed

Unit cell a=3.6822 b=4.6603 c=13.0741 alpha=111.80 beta=90.00 gamma=113.27
With the nearest neighbours (Å) after each atom.
Fractional positions:
Pt 0.1540 0.3079 0.4230  8 Rh 2.69-2.93, 4 Pt 2.73-2.80
Pt 0.8460 0.6921 0.5770  8 Rh 2.69-2.93, 4 Pt 2.73-2.80
Pt 0.4599 0.9198 0.2592  8 Rh 2.61-2.80, 2 Pt 2.80
Pt 0.5401 0.0802 0.7408  8 Rh 2.61-2.80, 2 Pt 2.80
Pt 0.0000 0.0000 0.0000  2 Rh 2.44
Rh 0.1888 0.3776 0.6555  4 Rh 2.62-2.73, 6 Pt 2.69-2.75
Rh 0.8112 0.6224 0.3445  4 Rh 2.62-2.73, 6 Pt 2.69-2.75
Rh 0.1313 0.2626 0.2039  4 Pt 2.44-2.63, 2 Rh 2.62
Rh 0.8687 0.7374 0.7961  4 Pt 2.44-2.63, 2 Rh 2.62
Rh 0.7670 0.5340 0.0950  5 Pt 2.74-2.80, 5 Rh 2.85-3.01
Rh 0.5000 0.0000 0.5000  6 Pt 2.69-2.72, 4 Rh 2.73
Rh 0.2330 0.4660 0.9050  5 Pt 2.74-2.80, 5 Rh 2.85-3.01

Output
Energy of formation, meV per atom: 207
SG: No. 12
Theoretical density, g/cm³: 14.94

No. 20
Material: Pt3Rh7
Method: DFT, PBE-GGA
State: relaxed

Unit cell a=3.8648 b=5.5032 c=7.2655 alpha=100.88 beta=105.42 gamma=90.00
With the nearest neighbours (Å) after each atom.
Fractional positions:
Pt 0.0000 0.0000 0.0000  12 Rh 2.73-2.75
Pt 0.8013 0.3994 0.6025  10 Rh 2.73-2.78, 2 Pt 2.77
Pt 0.1987 0.6006 0.3975  10 Rh 2.73-2.78, 2 Pt 2.77
Rh 0.0000 0.5000 0.0000  4 Pt 2.73-2.75, 8 Rh 2.73-2.75
Rh 0.7995 0.9012 0.5990  7 Rh 2.73-2.76, 5 Pt 2.74-2.77
Rh 0.2005 0.0988 0.4010  7 Rh 2.73-2.76, 5 Pt 2.74-2.77
Rh 0.5986 0.2990 0.1973  5 Pt 2.73-2.78, 7 Rh 2.73-2.76
Rh 0.4014 0.7010 0.8027  5 Pt 2.73-2.78, 7 Rh 2.73-2.76
Rh 0.6003 0.8010 0.2005  4 Pt 2.73-2.74, 8 Rh 2.73-2.76
Rh 0.3997 0.1990 0.7995  4 Pt 2.73-2.74, 8 Rh 2.73-2.76

Output
Energy of formation, meV per atom: -18
SG: No. 12
Theoretical density, g/cm³: 14.84